# VZnOsO6

A geometry-optimized VZnOsO6 structure (PBE+U, Alexandria).

Cell lengths 5.026, 5.026, 9.106 Å; angles 90.00, 90.00, 120.00 degrees
Positions (direct):
Os  0.667  0.333  0.250
O  0.643  0.992  0.366
O  0.651  0.643  0.634
O  0.357  0.349  0.866
O  0.008  0.651  0.366
V  0.667  0.333  0.750
O  0.651  0.008  0.866
O  0.008  0.357  0.134
Zn  0.000  0.000  0.000
O  0.992  0.349  0.634
O  0.643  0.651  0.134
O  0.349  0.357  0.366
O  0.349  0.992  0.134
O  0.357  0.008  0.634
V  0.333  0.667  0.250
Os  0.333  0.667  0.750
Zn  0.000  0.000  0.500
O  0.992  0.643  0.866

As for the symmetry: P-31c (163). Its raw total energy is -6.814 eV/atom.